# Nd3Dy2Y6Th

An optimized crystal structure of Nd3Dy2Y6Th (PBE, the Alexandria database).

Unit cell a=6.2347 b=6.2347 c=11.8720 alpha=95.03 beta=95.03 gamma=119.98
Fractional positions:
Nd 0.0000 0.0000 0.0000
Nd 0.3328 0.6672 0.0000
Nd 0.6672 0.3328 0.0000
Dy 0.1667 0.8333 0.5000
Dy 0.8333 0.1667 0.5000
Y 0.0875 0.4174 0.2537
Y 0.2526 0.2526 0.7463
Y 0.4174 0.0875 0.2537
Y 0.5826 0.9125 0.7463
Y 0.7474 0.7474 0.2537
Y 0.9125 0.5826 0.7463
Th 0.5000 0.5000 0.5000

energy of formation from the pure elements: 22 kJ/mol of formula units

# BRuBr3

An optimized crystal structure of BRuBr3 (PBE, the Alexandria database).

Unit cell a=5.0620 b=5.0620 c=5.0620 alpha=90.00 beta=90.00 gamma=90.00
Fractional positions:
B 0.0000 0.0000 0.0000
Ru 0.5000 0.5000 0.5000
Br 0.0000 0.5000 0.5000
Br 0.5000 0.0000 0.5000
Br 0.5000 0.5000 0.0000

formation energy from raw total energies: 1.0452 eV per atom
energy above the most stable polymorph in this dataset: 0.000 eV/atom

# SrTcMo

An optimized crystal structure of SrTcMo (PBE, the Alexandria database).

Unit cell a=4.2834 b=4.4536 c=8.0726 alpha=90.00 beta=90.00 gamma=90.00
Fractional positions:
Sr 0.0000 0.0000 0.0000
Sr 0.5000 0.5000 0.3376
Tc 0.0000 0.0000 0.5099
Tc 0.0000 0.5000 0.6604
Mo 0.5000 0.0000 0.6673
Mo 0.5000 0.5000 0.8232

energy above the most stable polymorph in this dataset: 0.000 eV/atom
energy of formation from the pure elements: 102 kJ/mol of formula units

# LiZrCdSn2

An optimized crystal structure of LiZrCdSn2 (PBE, the Alexandria database).

Unit cell a=4.7587 b=4.7587 c=5.0177 alpha=90.00 beta=90.00 gamma=90.00
Fractional positions:
Li 0.0000 0.0000 0.0000
Zr 0.0000 0.0000 0.5000
Cd 0.5000 0.5000 0.5000
Sn 0.0000 0.5000 0.0000
Sn 0.5000 0.0000 0.0000

energy of formation from the pure elements: 137 kJ/mol of formula units

no.,M_tot (μB/atom)
1,0.00
2,0.18
3,0.00
4,0.00